[1]
VASP calculation (SCAN) on a crystal of ZrTc2As2 relaxed with PBEsol.

## Properties
ΔE to the lowest computed polymorph	0.189	eV per atom
D(E_F)	1.69	states/eV per cell
DFT formation energy	-272	meV per atom
V	17.25	A^3/atom
E	-142.56	eV per formula unit

a b c (Å): 4.453 4.453 5.371
angles (deg): 114.49 114.49 90.00
Sites, in units of the cell vectors:
Tc 0.371 0.371 0.742
Zr 0.000 0.000 0.000
As 0.250 0.750 0.500
Tc 0.629 0.629 0.258
As 0.750 0.250 0.500

=====

[2]
VASP calculation (SCAN) on a crystal of Zr2TcAs relaxed with PBEsol.

## Properties
D(E_F)	3.18	states/eV per cell
DFT formation energy	-151	meV per atom
V	18.82	A^3/atom
E	-117.25	eV per formula unit

a b c (Å): 3.240 3.240 8.489
angles (deg): 79.00 79.00 60.00
Sites, in units of the cell vectors:
As 0.509 0.509 0.473
Tc 0.240 0.240 0.281
Zr 0.758 0.758 0.726
Zr 0.993 0.993 0.020

=====

[3]
VASP calculation (SCAN) on a crystal of ZrTcAs2 relaxed with PBEsol.

## Properties
ΔE to the lowest computed polymorph	0.000	eV per atom
D(E_F)	3.25	states/eV per cell
DFT formation energy	-229	meV per atom
V	16.76	A^3/atom
E	-107.05	eV per formula unit

a b c (Å): 3.100 3.100 8.254
angles (deg): 79.18 79.18 60.00
Sites, in units of the cell vectors:
Zr 0.000 0.000 0.000
As 0.759 0.759 0.722
As 0.241 0.241 0.278
Tc 0.500 0.500 0.500

=====

> Number 1 is which compound?

ZrTc2As2